DFT (SCAN) results for Ag3IrOs at its PBEsol-relaxed geometry.

Summary:
formation enthalpy at 0 K	2.31	eV/atom
uncorrected energy	-45.10	eV per atom
total magnetic moment	4.40	Bohr magnetons per cell

Unit cell a=4.848 b=4.848 c=4.848 alpha=90.00 beta=90.00 gamma=90.00
Space group Pm-3m (No. 221)
Unique sites:
Ag (0.000, 0.000, 0.500) x3
Ir (0.000, 0.000, 0.000) x1
Os (0.500, 0.500, 0.500) x1